# 1
Zn3In12Hg5 (PBE, relaxed); formation enthalpy at 0 K = 3.0 eV/f.u.
1.0
-3.908 10.918 8.746
-0.628 -12.530 7.320
13.568 2.184 -4.704
In Zn Hg
48 12 20
Cartesian
8.972 3.947 7.644
7.251 -3.174 3.280
3.526 1.079 11.640
0.118 -5.542 6.450
5.505 -0.507 -0.278
-2.904 -2.541 13.839
-1.717 3.514 11.449
8.074 10.818 4.916
9.295 1.804 5.401
8.320 -5.944 6.467
3.542 -5.076 6.650
-0.300 6.087 9.617
11.051 -6.008 4.299
6.293 1.487 3.708
5.979 3.888 1.742
4.021 -9.795 6.081
0.059 -3.375 3.718
9.275 2.087 -1.212
10.020 -0.222 1.256
3.051 -3.315 9.621
2.273 7.153 7.518
-0.989 0.795 10.106
4.317 -2.542 5.004
5.010 10.367 5.281
2.687 -0.404 1.055
4.714 3.114 6.358
-2.020 6.580 7.063
0.957 -10.246 6.446
5.489 5.648 4.712
9.331 -5.515 1.745
1.780 3.747 8.082
2.747 4.665 2.795
0.711 6.516 4.895
6.284 -4.093 8.567
2.738 -0.915 7.655
-1.293 -3.531 8.372
6.218 -1.138 7.570
6.344 0.976 10.307
9.655 -2.958 5.256
11.935 3.114 -2.476
-0.244 -1.515 12.574
8.913 6.115 4.912
6.758 -6.581 3.844
2.813 1.711 3.792
10.748 -2.942 -0.086
10.324 4.104 2.990
-0.264 -1.231 5.961
-0.624 3.531 6.107
9.137 -7.961 3.970
4.032 1.982 1.337
6.543 -3.938 5.830
7.497 3.763 4.683
-2.195 0.429 12.555
-1.471 3.763 8.717
10.502 -3.191 2.645
11.226 0.143 -1.193
2.488 4.510 5.532
1.534 -3.191 6.679
4.999 -1.410 10.025
-0.106 8.533 7.392
0.073 1.235 4.522
4.515 0.286 5.681
8.958 -0.663 6.840
-2.268 -0.806 8.033
6.470 -5.173 1.308
4.903 7.786 6.543
7.267 -0.604 1.991
8.632 4.166 0.667
8.862 8.533 3.358
4.830 6.551 2.021
4.128 -7.214 4.819
6.363 3.360 8.700
0.000 0.000 0.000
0.169 -7.961 8.004
1.764 1.176 9.371
-0.314 -6.265 3.660
2.668 -2.788 2.662
-1.954 5.459 4.373
6.784 1.092 -2.352
0.399 -3.594 10.696

---

# 2
Li2CrAsRu (PBE, relaxed); formation enthalpy at 0 K = 4.8 eV/f.u.
1.0
-0.965 -3.876 1.958
3.564 0.495 2.736
-2.560 2.127 2.951
Li As Ru Cr
2 1 1 1
Cartesian
-0.482 -1.938 0.979
-1.280 1.064 1.475
1.782 0.247 1.368
0.020 -0.627 3.822
0.000 0.000 0.000

---

# 3
Nd12Ga6H (PBE, relaxed); uncorrected energy = -4.469 eV per atom
1.0
-0.776 -7.507 -3.106
5.720 -2.222 5.379
-6.134 -0.962 5.295
Nd Ga H
12 6 1
Cartesian
-5.946 -6.164 2.947
4.755 -4.527 4.622
0.992 -3.018 8.482
-1.034 -2.895 4.550
-0.157 -7.796 3.019
-2.779 -6.122 4.971
-4.177 -2.208 6.492
2.987 -8.482 1.077
-1.931 -4.886 1.596
1.589 -4.569 2.598
-2.182 -7.673 -0.913
0.740 -5.804 5.973
-4.032 -3.686 3.694
2.035 -3.127 5.439
2.842 -7.004 3.875
-1.698 -4.124 7.229
-3.225 -7.564 2.130
0.508 -6.567 0.340
0.000 0.000 0.000

---

# 4
Be2NiHg (PBE, relaxed); formation enthalpy at 0 K = 0.6 eV/f.u.
1.0
3.619 0.000 0.000
0.000 2.704 0.009
0.000 1.360 5.056
Hg Be Ni
1 2 1
Cartesian
0.000 1.860 2.394
0.000 1.867 4.886
1.810 0.508 1.047
1.810 3.222 4.327

---

# 5
CsZrAs2Rh (PBE, relaxed); formation enthalpy at 0 K = 0.9 eV/f.u.
1.0
5.365 0.000 0.000
0.000 5.365 0.000
0.000 0.000 5.050
Rh As Zr Cs
1 2 1 1
Cartesian
0.000 0.000 2.525
2.683 0.000 0.000
0.000 2.683 0.000
0.000 0.000 0.000
2.683 2.683 2.525

---

# 6
Y2ZrBr (PBE, relaxed); ΔE_f (raw) = 39 meV per atom
1.0
-4.426 7.380 -0.357
-6.784 -3.894 3.604
-4.566 2.500 4.396
Br Zr Y
2 2 4
Cartesian
-8.477 0.174 4.812
-5.605 1.743 1.624
0.000 0.000 0.000
-7.298 5.811 2.832
-12.802 5.171 5.910
-4.475 4.282 1.349
-8.058 2.935 4.744
-6.215 -0.418 3.285

---

# 7
HfHBr (PBE, relaxed); uncorrected energy = -5.671 eV per atom
1.0
-2.353 -0.635 2.714
2.355 -1.714 1.640
5.685 16.135 8.703
Br Hf H
4 4 4
Cartesian
5.965 13.762 9.170
-1.027 0.996 2.574
2.734 5.550 5.340
3.702 7.263 9.031
6.270 11.096 9.348
0.506 1.808 4.631
3.395 9.931 8.851
1.203 4.736 3.285
5.380 9.443 8.896
4.284 11.585 9.302
0.992 3.265 2.051
0.718 3.279 5.865

---

# 8
PmAlPd6 (PBE, relaxed); formation enthalpy at 0 K = -5.5 eV/f.u.
1.0
4.100 0.000 0.000
0.000 4.100 0.000
0.000 0.000 7.921
Pd Al Pm
6 1 1
Cartesian
0.000 2.050 5.755
2.050 2.050 3.961
2.050 2.050 0.000
0.000 2.050 2.167
2.050 0.000 2.167
2.050 0.000 5.755
0.000 0.000 3.961
0.000 0.000 0.000